# 1
The following is a PBE-GGA calculation of an optimized crystal structure of LiRu2, from Alexandria via LeMat-Bulk.

Computed properties:
- M_tot (μB per atom) = 0.115
- formation energy from the elements (eV/atom) = 0.366
- symmetry = P6_3/mmc (194)

Unit cell a=5.1217 b=5.1217 c=8.1687 alpha=90.00 beta=90.00 gamma=120.00
Last column: nearest neighbours and their distance in Å.
Fractional positions:
Ru: 0.8257 0.1743 0.2500  6 Ru 2.44-2.68
Ru: 0.8257 0.6513 0.2500  6 Ru 2.44-2.68
Ru: 0.0000 0.0000 0.5000  6 Ru 2.56
Ru: 0.0000 0.0000 0.0000  6 Ru 2.56
Ru: 0.6513 0.8257 0.7500  6 Ru 2.44-2.68
Ru: 0.3487 0.1743 0.2500  6 Ru 2.44-2.68
Ru: 0.1743 0.3487 0.7500  6 Ru 2.44-2.68
Ru: 0.1743 0.8257 0.7500  6 Ru 2.44-2.68
Li: 0.6667 0.3333 0.9285  4 Li 2.92-3.18, 12 Ru 2.95-3.01
Li: 0.3333 0.6667 0.4285  4 Li 2.92-3.18, 12 Ru 2.95-3.01
Li: 0.3333 0.6667 0.0715  4 Li 2.92-3.18, 12 Ru 2.95-3.01
Li: 0.6667 0.3333 0.5715  4 Li 2.92-3.18, 12 Ru 2.95-3.01

=====

# 2
The following is a PBE-GGA calculation of an optimized crystal structure of Pa2Ge, from Alexandria via LeMat-Bulk.

Computed properties:
- M_tot (μB per atom) = 0.000
- formation energy from the elements (eV/atom) = -0.345
- symmetry = Cmmm (65)

Unit cell a=4.5251 b=4.1246 c=7.5896 alpha=90.00 beta=107.34 gamma=90.00
Last column: nearest neighbours and their distance in Å.
Fractional positions:
Ge: 0.3457 0.0000 0.6913  10 Pa 3.04-3.23
Ge: 0.6543 0.0000 0.3087  10 Pa 3.04-3.23
Pa: 0.5000 0.5000 0.0000  4 Ge 3.04, 8 Pa 3.06-3.39
Pa: 0.1738 0.5000 0.3476  6 Ge 3.07-3.23, 6 Pa 3.16-3.39
Pa: 0.0000 0.0000 0.0000  8 Pa 3.06-3.25, 4 Ge 3.18
Pa: 0.8262 0.5000 0.6524  6 Ge 3.07-3.23, 6 Pa 3.16-3.39

=====

Among the records above, which one has the highest formation energy from the elements?
LiRu2

=====

Copy entry 1 word for word.
The following is a PBE-GGA calculation of an optimized crystal structure of LiRu2, from Alexandria via LeMat-Bulk.

Computed properties:
- M_tot (μB per atom) = 0.115
- formation energy from the elements (eV/atom) = 0.366
- symmetry = P6_3/mmc (194)

Unit cell a=5.1217 b=5.1217 c=8.1687 alpha=90.00 beta=90.00 gamma=120.00
Last column: nearest neighbours and their distance in Å.
Fractional positions:
Ru: 0.8257 0.1743 0.2500  6 Ru 2.44-2.68
Ru: 0.8257 0.6513 0.2500  6 Ru 2.44-2.68
Ru: 0.0000 0.0000 0.5000  6 Ru 2.56
Ru: 0.0000 0.0000 0.0000  6 Ru 2.56
Ru: 0.6513 0.8257 0.7500  6 Ru 2.44-2.68
Ru: 0.3487 0.1743 0.2500  6 Ru 2.44-2.68
Ru: 0.1743 0.3487 0.7500  6 Ru 2.44-2.68
Ru: 0.1743 0.8257 0.7500  6 Ru 2.44-2.68
Li: 0.6667 0.3333 0.9285  4 Li 2.92-3.18, 12 Ru 2.95-3.01
Li: 0.3333 0.6667 0.4285  4 Li 2.92-3.18, 12 Ru 2.95-3.01
Li: 0.3333 0.6667 0.0715  4 Li 2.92-3.18, 12 Ru 2.95-3.01
Li: 0.6667 0.3333 0.5715  4 Li 2.92-3.18, 12 Ru 2.95-3.01